Entry 1:
Entry from the Alexandria database: crystalline SnW2CSe at its relaxed geometry (PBE).

The space group is P4/mmm (No. 123) and the conventional cell measures 4.586, 4.586 and 5.528 Å, with angles of 90.00, 90.00 and 90.00 degrees. Symmetry generates all atoms from Sn at (0.000, 0.000, 0.000), W at (0.000, 0.500, 0.500), C at (0.500, 0.500, 0.000) and Se at (0.000, 0.000, 0.500).

The value obtained for the uncorrected formation energy is 2.86 eV/atom.

=====

Entry 2:
Entry from the Alexandria database: crystalline Tb2GaTc3 at its relaxed geometry (PBE).

The space group is R-3m (No. 166, hexagonal axes) and the conventional cell measures 5.3396, 5.3396 and 13.5745 Å, with angles of 90.00, 90.00 and 120.00 degrees. Symmetry generates all atoms from Tb at (0.0000, 0.0000, 0.1216), Ga at (0.0000, 0.0000, 0.5000) and Tc at (0.0000, 0.5000, 0.0000).

The formation enthalpy at 0 K comes out at -0.32 eV per atom.